This record from Alexandria via LeMat-Bulk describes a relaxed VHg3Se2F6 crystal. The functional is PBE with a Hubbard U.

Structure (CIF):
```
data_VHg3Se2F6
_cell_length_a 13.6246
_cell_length_b 7.0273
_cell_length_c 5.2378
_cell_angle_alpha 90.00
_cell_angle_beta 105.92
_cell_angle_gamma 90.00
_symmetry_space_group_name_H-M 'C 1 2/m 1'
_symmetry_Int_Tables_number 12
loop_
_symmetry_equiv_pos_as_xyz
'x,y,z'
'-x,-y,-z'
'-x,y,-z'
'x,-y,z'
'x+1/2,y+1/2,z'
'-x+1/2,-y+1/2,-z'
'-x+1/2,y+1/2,-z'
'x+1/2,-y+1/2,z'
loop_
_atom_site_label
_atom_site_type_symbol
_atom_site_fract_x
_atom_site_fract_y
_atom_site_fract_z
V1 V 0.0000 0.0000 0.0000
Hg1 Hg 0.0000 0.5000 0.5000
Hg2 Hg 0.2500 0.2500 0.0000
Se1 Se 0.1932 0.5000 0.6403
F1 F 0.0753 0.1951 0.2115
F2 F 0.0970 0.0000 0.7968
```

Total magnetic moment, μB/f.u.: 1.00
Total energy, eV per atom: -3.87
DOS(E_F), states/eV per cell: 0.00